Record 1
First-principles (PBE-GGA) data for a relaxed FeSb2Se crystal, as listed in Alexandria.

As for the uncorrected formation energy: 163 meV/atom. Its density of states at the Fermi level is 0.84 states/eV/atom. The value obtained for the calculated volume is 170.9 Å³ per cell. As for the total magnetization: 1.63 μB per formula unit.

The structure belongs to space group C2/m (No. 12); the cell edges are 6.3437, 3.6580 and 7.6710 Å and the angles 90.00°, 106.23° and 90.00°. Symmetry generates all atoms from Fe at (0.0000, 0.0000, 0.0000), Sb at (0.2392, 0.5000, 0.2147) and Se at (0.0000, 0.5000, 0.5000).

---

Record 2
First-principles (PBE-GGA) data for a relaxed Fe4SbSe crystal, as listed in Alexandria.

As for the uncorrected formation energy: 318 meV/atom. Its density of states at the Fermi level is 0.91 states/eV/atom. The value obtained for the calculated volume is 366.7 Å³ per cell. As for the total magnetization: 10.91 μB per formula unit.

The structure belongs to space group F-43m (No. 216); the cell edges are 7.1575, 7.1575 and 7.1575 Å and the angles 90.00°, 90.00° and 90.00°. Symmetry generates all atoms from Fe at (0.1244, 0.1244, 0.1244), Sb at (0.2500, 0.2500, 0.7500) and Se at (0.0000, 0.0000, 0.5000).